{"formula": "LaIn3Pd3", "functional": "GGA-PBE", "state": "optimized geometry", "e_form_ev_per_atom": -0.561, "e_tot_ry_per_atom": -0.343, "polymorph_energy_mev_per_atom": 0.0, "sg": "P6_3/m (176)", "lattice_angstrom": [[-1.245, -4.392, 0.074], [3.234, -1.056, -8.274], [5.294, -1.382, 7.081]], "species": ["In", "In", "In", "In", "In", "In", "Pd", "Pd", "Pd", "Pd", "Pd", "Pd", "La", "La"], "frac_coords": [[0.750, 0.280, 0.243], [0.250, 0.038, 0.281], [0.250, 0.720, 0.757], [0.250, 0.243, 0.962], [0.750, 0.962, 0.719], [0.750, 0.757, 0.038], [0.250, 0.557, 0.947], [0.750, 0.443, 0.053], [0.250, 0.053, 0.611], [0.750, 0.947, 0.389], [0.250, 0.389, 0.443], [0.750, 0.611, 0.557], [0.250, 0.667, 0.333], [0.750, 0.333, 0.667]]}

{"formula": "LaIn3Pd", "functional": "GGA-PBE", "state": "optimized geometry", "e_form_ev_per_atom": -0.569, "e_tot_ry_per_atom": -0.311, "polymorph_energy_mev_per_atom": 0.0, "sg": "Pnma (62)", "lattice_angstrom": [[-3.208, -3.133, -0.836], [5.836, -4.535, -5.395], [3.722, -6.299, 9.321]], "species": ["La", "La", "La", "La", "In", "In", "In", "In", "In", "In", "In", "In", "In", "In", "In", "In", "Pd", "Pd", "Pd", "Pd"], "frac_coords": [[0.250, 0.191, 0.991], [0.750, 0.809, 0.009], [0.250, 0.691, 0.509], [0.750, 0.309, 0.491], [0.250, 0.361, 0.288], [0.750, 0.436, 0.913], [0.750, 0.936, 0.587], [0.250, 0.064, 0.413], [0.750, 0.139, 0.788], [0.250, 0.564, 0.087], [0.250, 0.889, 0.805], [0.250, 0.389, 0.695], [0.250, 0.861, 0.212], [0.750, 0.639, 0.712], [0.750, 0.111, 0.195], [0.750, 0.611, 0.305], [0.750, 0.900, 0.355], [0.250, 0.100, 0.645], [0.750, 0.400, 0.145], [0.250, 0.600, 0.855]]}

Copy entry 2 word for word.
{"formula": "LaIn3Pd", "functional": "GGA-PBE", "state": "optimized geometry", "e_form_ev_per_atom": -0.569, "e_tot_ry_per_atom": -0.311, "polymorph_energy_mev_per_atom": 0.0, "sg": "Pnma (62)", "lattice_angstrom": [[-3.208, -3.133, -0.836], [5.836, -4.535, -5.395], [3.722, -6.299, 9.321]], "species": ["La", "La", "La", "La", "In", "In", "In", "In", "In", "In", "In", "In", "In", "In", "In", "In", "Pd", "Pd", "Pd", "Pd"], "frac_coords": [[0.250, 0.191, 0.991], [0.750, 0.809, 0.009], [0.250, 0.691, 0.509], [0.750, 0.309, 0.491], [0.250, 0.361, 0.288], [0.750, 0.436, 0.913], [0.750, 0.936, 0.587], [0.250, 0.064, 0.413], [0.750, 0.139, 0.788], [0.250, 0.564, 0.087], [0.250, 0.889, 0.805], [0.250, 0.389, 0.695], [0.250, 0.861, 0.212], [0.750, 0.639, 0.712], [0.750, 0.111, 0.195], [0.750, 0.611, 0.305], [0.750, 0.900, 0.355], [0.250, 0.100, 0.645], [0.750, 0.400, 0.145], [0.250, 0.600, 0.855]]}

- Number 2 is which compound?
  LaIn3Pd